1.
A plane-wave DFT calculation with PBE-GGA was carried out for a relaxed structure of SrAc2OsC2.

Properties
Density of states at the Fermi level in states/eV/cell: 8.8
Calculated formation energy in meV/atom: 214

Cell lengths 4.2649, 6.2322, 11.5597 Å; angles 90.00, 90.00, 90.00 degrees
Sites, in units of the cell vectors:
Sr 0.5000 0.5000 0.0000
Sr 0.0000 0.0000 0.5000
Ac 0.5000 0.0292 0.1983
Ac 0.0000 0.5292 0.3017
Ac 0.5000 0.9708 0.8017
Ac 0.0000 0.4708 0.6983
Os 0.0000 0.0000 0.0000
Os 0.5000 0.5000 0.5000
C 0.5000 0.7421 0.3929
C 0.5000 0.2579 0.6071
C 0.0000 0.7579 0.8929
C 0.0000 0.2421 0.1071

2.
A plane-wave DFT calculation with PBE-GGA was carried out for a relaxed structure of Ac2ZnOsC.

Properties
Density of states at the Fermi level in states/eV/cell: 5.0
Calculated formation energy in meV/atom: -52

Cell lengths 4.4961, 6.8096, 8.9219 Å; angles 110.55, 90.00, 90.00 degrees
Sites, in units of the cell vectors:
Ac 0.7500 0.7846 0.6126
Ac 0.7500 0.7721 0.0326
Ac 0.2500 0.2154 0.3874
Ac 0.2500 0.2279 0.9674
Zn 0.2500 0.6735 0.2978
Zn 0.7500 0.3265 0.7022
Os 0.2500 0.5121 0.7458
Os 0.7500 0.4879 0.2542
C 0.2500 0.8028 0.8216
C 0.7500 0.1972 0.1784

3.
A plane-wave DFT calculation with PBE-GGA was carried out for a relaxed structure of Ac2PC.

Properties
Density of states at the Fermi level in states/eV/cell: 2.6
Calculated formation energy in meV/atom: 28

Cell lengths 3.6385, 5.1135, 5.1135 Å; angles 90.00, 90.00, 90.00 degrees
Each line ends with the local moment (μB).
Sites, in units of the cell vectors:
P 0.5000 0.5000 0.5000  0.07
Ac 0.0000 0.0000 0.5000  0.02
Ac 0.0000 0.5000 0.0000  0.02
C 0.5000 0.0000 0.0000  0.43